[1]
The following is a PBEsol calculation of BaMg2 after structural relaxation, from Alexandria.

Properties
- mass density (g/cm³) = 3.2
- total DFT energy (no corrections) (eV per atom) = -1.96
- DFT formation energy (meV per atom) = -99

Structure (extended XYZ):
```
12
Lattice="6.5584 0.0000 0.0000 -3.2792 5.6797 0.0000 0.0000 0.0000 10.4760" Properties=species:S:1:pos:R:3 pbc="T T T"
Ba 0.0000 3.7865 0.5955
Ba 0.0000 3.7865 4.6425
Ba 3.2792 1.8932 5.8335
Ba 3.2792 1.8932 9.8805
Mg 0.0000 0.0000 0.0000
Mg 0.0000 0.0000 5.2380
Mg 0.0000 1.8417 7.8570
Mg -1.6842 4.7589 7.8570
Mg 1.5950 0.9208 2.6190
Mg 1.6842 4.7589 7.8570
Mg 4.9634 0.9208 2.6190
Mg 3.2792 3.8380 2.6190
```



[2]
The following is a PBEsol calculation of BaMg3 after structural relaxation, from Alexandria.

Properties
- mass density (g/cm³) = 2.9
- total DFT energy (no corrections) (eV per atom) = -1.81
- DFT formation energy (meV per atom) = 12

Structure (extended XYZ):
```
4
Lattice="3.7312 0.0000 0.0000 0.0000 3.7312 0.0000 0.0000 0.0000 8.6204" Properties=species:S:1:pos:R:3 pbc="T T T"
Ba 0.0000 0.0000 0.0000
Mg 0.0000 0.0000 4.3102
Mg 1.8656 1.8656 2.6269
Mg 1.8656 1.8656 5.9935
```



[3]
The following is a PBEsol calculation of Ba4Mg3 after structural relaxation, from Alexandria.

Properties
- energy relative to the lowest polymorph listed for this composition (kJ/mol of atoms) = 0.0
- mass density (g/cm³) = 3.4
- total DFT energy (no corrections) (eV per atom) = -1.98
- DFT formation energy (meV per atom) = -14

Structure (extended XYZ):
```
7
Lattice="-2.1147 2.1147 16.7904 2.1147 -2.1147 16.7904 2.1147 2.1147 -16.7904" Properties=species:S:1:pos:R:3 pbc="T T T"
Ba 0.0000 0.0000 2.1472
Ba 0.0000 0.0000 11.2800
Ba 0.0000 0.0000 22.3008
Ba 0.0000 0.0000 31.4336
Mg 0.0000 0.0000 7.6834
Mg 0.0000 0.0000 16.7904
Mg 0.0000 0.0000 25.8973
```



[4]
The following is a PBEsol calculation of BaMg3 after structural relaxation, from Alexandria.

Properties
- mass density (g/cm³) = 2.8
- total DFT energy (no corrections) (eV per atom) = -1.72
- DFT formation energy (meV per atom) = 103

Structure (extended XYZ):
```
8
Lattice="6.3183 0.0000 0.0000 0.0000 6.3183 0.0000 0.0000 0.0000 6.3183" Properties=species:S:1:pos:R:3 pbc="T T T"
Ba 0.0000 0.0000 0.0000
Ba 3.1592 3.1592 3.1592
Mg 0.0000 1.5796 3.1592
Mg 0.0000 4.7387 3.1592
Mg 1.5796 3.1592 0.0000
Mg 3.1592 0.0000 1.5796
Mg 3.1592 0.0000 4.7387
Mg 4.7387 3.1592 0.0000
```